A plane-wave DFT calculation with GGA-PBE was carried out for Cr2AgTe after structural relaxation.

Results
Theoretical density = 6.26 g/cm³
E_form (uncorrected) = 3.0 eV per formula unit
E = -5.560 eV per atom
Volume = 22.518 Å³ per atom
Fermi-level density of states = 3.7 states/eV/f.u.

Cell lengths 4.5311, 4.5311, 17.5483 Å; angles 90.00, 90.00, 90.00 degrees
Space group I-42d (No. 122)
Inequivalent atoms, fractional coordinates:
Cr 0.2385 0.2500 0.1250 (multiplicity 8)
Ag 0.0000 0.0000 0.5000 (multiplicity 4)
Te 0.0000 0.0000 0.0000 (multiplicity 4)